No. 1
# BaCoP GGA-PBE optimized geometry
# **ΔE_f**: -774 meV per atom
data_BaCoP
_symmetry_space_group_name_H-M 'P 1'
_symmetry_Int_Tables_number 1
_cell_length_a 7.378
_cell_length_b 7.368
_cell_length_c 6.238
_cell_angle_alpha 90.00
_cell_angle_beta 126.27
_cell_angle_gamma 90.00
loop_
_symmetry_equiv_pos_as_xyz
'x,y,z'
loop_
_atom_site_label
_atom_site_type_symbol
_atom_site_fract_x
_atom_site_fract_y
_atom_site_fract_z
P1 P 0.328 0.673 0.501
P2 P 0.172 0.173 0.499
P3 P 0.672 0.327 0.499
P4 P 0.828 0.827 0.501
Co1 Co 0.120 0.880 0.500
Co2 Co 0.380 0.380 0.500
Co3 Co 0.880 0.120 0.500
Co4 Co 0.620 0.620 0.500
Ba1 Ba 0.816 0.500 0.131
Ba2 Ba 0.684 0.000 0.869
Ba3 Ba 0.184 0.500 0.869
Ba4 Ba 0.316 0.000 0.131

No. 2
# BaCoP3 GGA-PBE optimized geometry
# **ΔE_f**: -59 meV per atom
data_BaCoP3
_symmetry_space_group_name_H-M 'P 1'
_symmetry_Int_Tables_number 1
_cell_length_a 4.655
_cell_length_b 4.655
_cell_length_c 4.655
_cell_angle_alpha 90.00
_cell_angle_beta 90.00
_cell_angle_gamma 90.00
loop_
_symmetry_equiv_pos_as_xyz
'x,y,z'
loop_
_atom_site_label
_atom_site_type_symbol
_atom_site_fract_x
_atom_site_fract_y
_atom_site_fract_z
P1 P 0.000 0.500 0.000
P2 P 0.000 0.000 0.500
P3 P 0.500 0.000 0.000
Co1 Co 0.000 0.000 0.000
Ba1 Ba 0.500 0.500 0.500

No. 3
# Ba4CoP GGA-PBE optimized geometry
# **ΔE_f**: 867 meV per atom
data_Ba4CoP
_symmetry_space_group_name_H-M 'P 1'
_symmetry_Int_Tables_number 1
_cell_length_a 6.931
_cell_length_b 6.931
_cell_length_c 6.931
_cell_angle_alpha 60.00
_cell_angle_beta 60.00
_cell_angle_gamma 60.00
loop_
_symmetry_equiv_pos_as_xyz
'x,y,z'
loop_
_atom_site_label
_atom_site_type_symbol
_atom_site_fract_x
_atom_site_fract_y
_atom_site_fract_z
Ba1 Ba 0.877 0.374 0.374
Ba2 Ba 0.374 0.374 0.877
Ba3 Ba 0.374 0.877 0.374
Ba4 Ba 0.374 0.374 0.374
Co1 Co 0.750 0.750 0.750
P1 P 0.000 0.000 0.000

No. 4
# BaCoP4 GGA-PBE optimized geometry
# **ΔE_f**: 320 meV per atom
data_BaCoP4
_symmetry_space_group_name_H-M 'P 1'
_symmetry_Int_Tables_number 1
_cell_length_a 5.652
_cell_length_b 5.652
_cell_length_c 5.652
_cell_angle_alpha 60.00
_cell_angle_beta 60.00
_cell_angle_gamma 60.00
loop_
_symmetry_equiv_pos_as_xyz
'x,y,z'
loop_
_atom_site_label
_atom_site_type_symbol
_atom_site_fract_x
_atom_site_fract_y
_atom_site_fract_z
Ba1 Ba 0.750 0.750 0.750
Co1 Co 0.000 0.000 0.000
P1 P 0.947 0.351 0.351
P2 P 0.351 0.351 0.947
P3 P 0.351 0.947 0.351
P4 P 0.351 0.351 0.351

| no. | magnetic moment (μB/cell) | theoretical density (g/cm³) | total DFT energy (no corrections) (eV per atom) |
| --- | --- | --- | --- |
| 1 | 0.001 | 5.52 | -5.587 |
| 2 | 1.518 | 4.76 | -5.111 |
| 3 | 0.756 | 4.51 | -2.501 |
| 4 | 1.335 | 4.17 | -4.791 |